Model A:
# CrFe4

Crystalline CrFe4 at its relaxed geometry (PBE, Alexandria via LeMat-Bulk).

Its total moment is 8.72 μB/f.u. Its volume is 11.436 A^3/atom. As for the density of states at the Fermi level: 14.4 states/eV/cell. For the density, the calculation gives 8.00 g/cm3.

The structure belongs to space group Fmmm (No. 69); the cell edges are 2.8749, 3.9585 and 20.0973 Å and the angles 90.00°, 90.00° and 90.00°. The inequivalent atoms are Cr at (0.0000, 0.0000, 0.0000), Fe at (0.0000, 0.0000, 0.1995) and Fe at (0.0000, 0.0000, 0.4007).

=====

Model B:
# CrFe4

Crystalline CrFe4 at its relaxed geometry (PBE, Alexandria via LeMat-Bulk).

Its total moment is 0.50 μB/f.u. Its volume is 12.245 A^3/atom. As for the density of states at the Fermi level: 12.0 states/eV/cell. For the density, the calculation gives 7.47 g/cm3.

The structure belongs to space group I4/mmm (No. 139); the cell edges are 3.5234, 3.5234 and 9.8633 Å and the angles 90.00°, 90.00° and 90.00°. The inequivalent atoms are Cr at (0.0000, 0.0000, 0.0000), Fe at (0.0000, 0.0000, 0.3974) and Fe at (0.0000, 0.5000, 0.2500).

=====

Relative calculated energies, zero for the most stable structure, unit meV per atom: model A 0; model B 507.